(1)
ZrTi2Cr2: relaxed, PBE.

Cell lengths 3.8826, 3.8826, 11.1976 Å; angles 90.00, 90.00, 90.00 degrees
Space group I4/mmm (No. 139)
Unique sites:
Zr1 0.0000 0.0000 0.0000 [2 per cell]
Ti1 0.0000 0.5000 0.2500 [4 per cell]
Cr1 0.0000 0.0000 0.4043 [4 per cell]

Output
The formation energy is 0.2907 eV per atom. As for the distance to the lowest polymorph of the same formula: 81 meV/atom.

(2)
Zr2TiCr: relaxed, PBE.

Cell lengths 6.6526, 6.6526, 6.6526 Å; angles 90.00, 90.00, 90.00 degrees
Space group Fm-3m (No. 225)
Unique sites:
Zr1 0.2500 0.2500 0.2500 [8 per cell]
Ti1 0.0000 0.0000 0.0000 [4 per cell]
Cr1 0.0000 0.0000 0.5000 [4 per cell]

Output
The formation energy is 0.2218 eV per atom. As for the distance to the lowest polymorph of the same formula: 65 meV/atom.

(3)
ZrTi2Cr2: relaxed, PBE.

Cell lengths 7.3091, 7.3091, 3.1038 Å; angles 90.00, 90.00, 90.00 degrees
Space group P4/mbm (No. 127)
Unique sites:
Zr1 0.0000 0.0000 0.0000 [2 per cell]
Ti1 0.1439 0.3561 0.5000 [4 per cell]
Cr1 0.1445 0.6445 0.0000 [4 per cell]

Output
The formation energy is 0.2095 eV per atom. As for the distance to the lowest polymorph of the same formula: 0 meV/atom.

(4)
ZrTiCr: relaxed, PBE.

Cell lengths 5.4659, 8.3632, 9.2872 Å; angles 90.00, 90.00, 90.00 degrees
Space group Fmmm (No. 69)
Unique sites:
Zr1 0.0000 0.1768 0.0000 [8 per cell]
Ti1 0.0000 0.0000 0.3296 [8 per cell]
Cr1 0.2500 0.2500 0.2500 [8 per cell]

Output
The formation energy is 0.2057 eV per atom.

(5)
Zr2TiCr2: relaxed, PBE.

Cell lengths 7.2388, 7.2388, 3.3934 Å; angles 90.00, 90.00, 90.00 degrees
Space group P4/mbm (No. 127)
Unique sites:
Zr1 0.1961 0.3039 0.0000 [4 per cell]
Ti1 0.0000 0.0000 0.5000 [2 per cell]
Cr1 0.0979 0.5979 0.5000 [4 per cell]

Output
The formation energy is 0.2460 eV per atom.

(6)
ZrTiCr3: relaxed, PBE.

Cell lengths 4.4188, 4.4188, 4.4188 Å; angles 90.00, 90.00, 90.00 degrees
Space group Pm-3m (No. 221)
Unique sites:
Zr1 0.0000 0.0000 0.0000 [1 per cell]
Ti1 0.5000 0.5000 0.5000 [1 per cell]
Cr1 0.0000 0.5000 0.5000 [3 per cell]

Output
The formation energy is 1.0005 eV per atom. As for the distance to the lowest polymorph of the same formula: 0 meV/atom.

(7)
Zr2TiCr: relaxed, PBE.

Cell lengths 3.2550, 3.2550, 7.0788 Å; angles 90.00, 90.00, 90.00 degrees
Space group P4/mmm (No. 123)
Unique sites:
Zr1 0.0000 0.0000 0.2272 [2 per cell]
Ti1 0.5000 0.5000 0.5000 [1 per cell]
Cr1 0.5000 0.5000 0.0000 [1 per cell]

Output
The formation energy is 0.1564 eV per atom. As for the distance to the lowest polymorph of the same formula: 0 meV/atom.

(8)
Tl3Cr: relaxed, PBE.

Cell lengths 3.4325, 9.7109, 6.3851 Å; angles 90.00, 90.00, 90.00 degrees
Space group Imm2 (No. 44)
Unique sites:
Tl1 0.0000 0.0000 0.0000 [2 per cell]
Tl2 0.0000 0.2088 0.6041 [4 per cell]
Cr1 0.0000 0.5000 0.8819 [2 per cell]

Output
The formation energy is 0.4204 eV per atom. As for the distance to the lowest polymorph of the same formula: 48 meV/atom.

(9)
TlCr: relaxed, PBE.

Cell lengths 3.3211, 3.3211, 29.0190 Å; angles 90.00, 90.00, 120.00 degrees
Space group R-3m (No. 166, hexagonal axes)
Unique sites:
Tl1 0.0000 0.0000 0.1187 [6 per cell]
Cr1 0.0000 0.0000 0.3730 [6 per cell]

Output
The formation energy is 0.8670 eV per atom.

(10)
Tl3Cr: relaxed, PBE.

Cell lengths 10.4072, 10.4072, 3.4081 Å; angles 90.00, 90.00, 120.00 degrees
Space group R-3m (No. 166, hexagonal axes)
Unique sites:
Tl1 0.0000 0.5000 0.0000 [9 per cell]
Cr1 0.0000 0.0000 0.0000 [3 per cell]

Output
The formation energy is 0.4610 eV per atom. As for the distance to the lowest polymorph of the same formula: 89 meV/atom.

(11)
TlCr: relaxed, PBE.

Cell lengths 6.4345, 6.4345, 6.4345 Å; angles 90.00, 90.00, 90.00 degrees
Space group F-43m (No. 216)
Unique sites:
Tl1 0.0000 0.0000 0.0000 [4 per cell]
Cr1 0.2500 0.2500 0.2500 [4 per cell]

Output
The formation energy is 1.3122 eV per atom.

(12)
TlCr4: relaxed, PBE.

Cell lengths 5.1745, 5.1745, 5.1745 Å; angles 90.00, 90.00, 90.00 degrees
Space group Pm-3m (No. 221)
Unique sites:
Tl1 0.0000 0.0000 0.0000 [1 per cell]
Cr1 0.0000 0.0000 0.5000 [3 per cell]
Cr2 0.5000 0.5000 0.5000 [1 per cell]

Output
The formation energy is 1.9311 eV per atom. As for the distance to the lowest polymorph of the same formula: 1247 meV/atom.

(13)
Tl3Cr: relaxed, PBE.

Cell lengths 4.7043, 4.7043, 9.4631 Å; angles 90.00, 90.00, 90.00 degrees
Space group I4/mmm (No. 139)
Unique sites:
Tl1 0.0000 0.0000 0.0000 [2 per cell]
Tl2 0.0000 0.5000 0.2500 [4 per cell]
Cr1 0.0000 0.0000 0.5000 [2 per cell]

Output
The formation energy is 0.4502 eV per atom. As for the distance to the lowest polymorph of the same formula: 78 meV/atom.

(14)
Tl3Cr: relaxed, PBE.

Cell lengths 6.4800, 9.5471, 3.4002 Å; angles 90.00, 90.00, 90.00 degrees
Space group Cmmm (No. 65)
Unique sites:
Tl1 0.0000 0.0000 0.0000 [2 per cell]
Tl2 0.2500 0.2500 0.5000 [4 per cell]
Cr1 0.0000 0.5000 0.0000 [2 per cell]

Output
The formation energy is 0.4573 eV per atom. As for the distance to the lowest polymorph of the same formula: 85 meV/atom.

(15)
TlCr: relaxed, PBE.

Cell lengths 3.0390, 3.0390, 8.4242 Å; angles 90.00, 90.00, 90.00 degrees
Space group P4/nmm (No. 129, origin choice 2)
Unique sites:
Tl1 0.2500 0.2500 0.1818 [2 per cell]
Cr1 0.2500 0.2500 0.5607 [2 per cell]

Output
The formation energy is 0.5928 eV per atom.

(16)
Tl3Cr: relaxed, PBE.

Cell lengths 7.5142, 7.5142, 7.5142 Å; angles 90.00, 90.00, 90.00 degrees
Space group Fm-3m (No. 225)
Unique sites:
Tl1 0.0000 0.0000 0.0000 [4 per cell]
Tl2 0.2500 0.2500 0.2500 [8 per cell]
Cr1 0.0000 0.0000 0.5000 [4 per cell]

Output
The formation energy is 0.4738 eV per atom. As for the distance to the lowest polymorph of the same formula: 102 meV/atom.

(17)
TlCr: relaxed, PBE.

Cell lengths 4.4409, 8.0451, 7.1788 Å; angles 90.00, 90.00, 90.00 degrees
Space group Amm2 (No. 38)
Unique sites:
Tl1 0.0000 0.0000 0.0000 [2 per cell]
Tl2 0.5000 0.2189 0.6753 [4 per cell]
Cr1 0.0000 0.1198 0.4009 [4 per cell]
Cr2 0.5000 0.0000 0.3905 [2 per cell]

Output
The formation energy is 0.6842 eV per atom.

(18)
TlCr3: relaxed, PBE.

Cell lengths 9.0871, 3.0579, 4.5172 Å; angles 90.00, 110.62, 90.00 degrees
Space group C2/m (No. 12)
Unique sites:
Tl1 0.0000 0.0000 0.0000 [2 per cell]
Cr1 0.0000 0.5000 0.5000 [2 per cell]
Cr2 0.2257 0.0000 0.6737 [4 per cell]

Output
The formation energy is 0.6807 eV per atom.

(19)
TlCr3: relaxed, PBE.

Cell lengths 5.6655, 5.6655, 4.2546 Å; angles 90.00, 90.00, 120.00 degrees
Space group P6_3/mmc (No. 194)
Unique sites:
Tl1 0.3333 0.6667 0.2500 [2 per cell]
Cr1 0.1374 0.2748 0.7500 [6 per cell]

Output
The formation energy is 0.4787 eV per atom.

(20)
TlCr: relaxed, PBE.

Cell lengths 3.2846, 3.2846, 10.2244 Å; angles 90.00, 90.00, 120.00 degrees
Space group P6_3mc (No. 186)
Unique sites:
Tl1 0.3333 0.6667 0.0000 [2 per cell]
Cr1 0.3333 0.6667 0.7257 [2 per cell]

Output
The formation energy is 0.8999 eV per atom.